## Na4In2Sb (GGA-PBE)

Data for an optimized crystal structure of Na4In2Sb.

It has space group I4/mmm (No. 139), with a = 5.962 Å, b = 5.962 Å, c = 15.456 Å, α = 90.00°, β = 90.00° and γ = 90.00°. Symmetry generates all atoms from Na at (0.000, 0.000, 0.197), Na at (0.000, 0.500, 0.000), In at (0.000, 0.000, 0.403) and Sb at (0.000, 0.000, 0.000).

Its total energy is -29.573 eV/cell. The magnetization is 0.0 μB/cell. The calculation puts the calculated volume at 549 Å³/cell.

***

## RbNa2Sr (GGA-PBE)

Data for an optimized crystal structure of RbNa2Sr.

It has space group I-42d (No. 122), with a = 10.290 Å, b = 10.290 Å, c = 8.295 Å, α = 90.00°, β = 90.00° and γ = 90.00°. Symmetry generates all atoms from Rb at (0.000, 0.000, 0.000), Na at (0.249, 0.250, 0.125) and Sr at (0.000, 0.000, 0.500).

Its total energy is -18.110 eV/cell. The magnetization is 0.0 μB/cell. The calculation puts the calculated volume at 878 Å³/cell. The calculation puts the formation energy at 0.19 eV per atom.

***

## Pm3Sn2Pt7 (GGA-PBE)

Data for an optimized crystal structure of Pm3Sn2Pt7.

It has space group Cmmm (No. 65), with a = 4.188 Å, b = 30.950 Å, c = 4.112 Å, α = 90.00°, β = 90.00° and γ = 90.00°. Symmetry generates all atoms from Pm at (0.000, 0.000, 0.000), Pm at (0.000, 0.206, 0.000), Sn at (0.000, 0.415, 0.500), Pt at (0.000, 0.139, 0.500), Pt at (0.000, 0.287, 0.500), Pt at (0.000, 0.360, 0.000) and Pt at (0.000, 0.500, 0.500).

Its total energy is -147.725 eV/cell. The magnetization is 0.0 μB/cell. The calculation puts the calculated volume at 533 Å³/cell. The calculation puts the formation energy at -0.78 eV per atom.

***

## PmMg2Cu2Si (GGA-PBE)

Data for an optimized crystal structure of PmMg2Cu2Si.

It has space group I4/mmm (No. 139), with a = 4.782 Å, b = 4.782 Å, c = 11.024 Å, α = 90.00°, β = 90.00° and γ = 90.00°. Symmetry generates all atoms from Pm at (0.000, 0.000, 0.000), Mg at (0.000, 0.500, 0.250), Cu at (0.000, 0.000, 0.301) and Si at (0.000, 0.000, 0.500).

Its total energy is -43.334 eV/cell. The magnetization is 0.0 μB/cell. The calculation puts the calculated volume at 252 Å³/cell.

***

## CsScSb2 (GGA-PBE)

Data for an optimized crystal structure of CsScSb2.

It has space group R-3m (No. 166, hexagonal axes), with a = 4.6019 Å, b = 4.6019 Å, c = 24.7711 Å, α = 90.00°, β = 90.00° and γ = 120.00°. Symmetry generates all atoms from Cs at (0.0000, 0.0000, 0.0000), Sc at (0.0000, 0.0000, 0.5000) and Sb at (0.0000, 0.0000, 0.2183).

Its total energy is -51.541 eV/cell. The magnetization is 0.0 μB/cell. The calculation puts the calculated volume at 454 Å³/cell.